No. 1
Here is a relaxed KUTe4Pd crystal from Alexandria. Energies are from PBE-GGA.

Cell lengths 7.625, 6.201, 9.882 Å; angles 90.00, 108.77, 90.00 degrees
Positions (direct):
1 K 0.221 0.250 0.059
2 K 0.779 0.750 0.941
3 U 0.277 0.250 0.558
4 U 0.723 0.750 0.442
5 Te 0.024 0.505 0.703
6 Te 0.024 0.995 0.703
7 Te 0.429 0.750 0.597
8 Te 0.466 0.750 0.143
9 Te 0.534 0.250 0.857
10 Te 0.571 0.250 0.403
11 Te 0.976 0.005 0.297
12 Te 0.976 0.495 0.297
13 Pd 0.267 0.750 0.318
14 Pd 0.733 0.250 0.682

M_tot: 1.3 μB/f.u.
Formation energy without anion corrections: -56.5 kJ/mol of atoms
E: -68.49 eV per cell

=====

No. 2
Here is a relaxed K2UTe4Pd crystal from Alexandria. Energies are from PBE-GGA.

Cell lengths 7.892, 4.280, 8.921 Å; angles 90.00, 111.74, 90.00 degrees
Positions (direct):
1 K 0.000 0.000 0.000
2 K 0.500 0.500 0.000
3 U 0.000 0.500 0.500
4 Te 0.209 0.000 0.734
5 Te 0.296 0.500 0.341
6 Te 0.704 0.500 0.659
7 Te 0.791 0.000 0.266
8 Pd 0.500 0.000 0.500

M_tot: 2.0 μB/f.u.
Formation energy without anion corrections: -66.1 kJ/mol of atoms
E: -36.73 eV per cell

=====

No. 3
Here is a relaxed KU2Te4Pd crystal from Alexandria. Energies are from PBE-GGA.

Cell lengths 7.844, 7.844, 15.398 Å; angles 90.00, 90.00, 147.56 degrees
Positions (direct):
1 K 0.117 0.883 0.750
2 K 0.883 0.117 0.250
3 U 0.366 0.634 0.569
4 U 0.366 0.634 0.931
5 U 0.634 0.366 0.069
6 U 0.634 0.366 0.431
7 Te 0.000 0.000 0.000
8 Te 0.000 0.000 0.500
9 Te 0.271 0.729 0.110
10 Te 0.271 0.729 0.390
11 Te 0.444 0.556 0.750
12 Te 0.556 0.444 0.250
13 Te 0.729 0.271 0.610
14 Te 0.729 0.271 0.890
15 Pd 0.160 0.840 0.250
16 Pd 0.840 0.160 0.750

M_tot: 5.0 μB/f.u.
Formation energy without anion corrections: -67.9 kJ/mol of atoms
E: -94.13 eV per cell

=====

No. 4
Here is a relaxed KVTe3Pd crystal from Alexandria. Energies are from PBE-GGA.

Cell lengths 8.889, 3.874, 10.586 Å; angles 90.00, 114.32, 90.00 degrees
Positions (direct):
1 K 0.023 0.250 0.285
2 K 0.977 0.750 0.715
3 V 0.464 0.250 0.175
4 V 0.536 0.750 0.825
5 Te 0.234 0.750 0.130
6 Te 0.308 0.750 0.568
7 Te 0.342 0.250 0.882
8 Te 0.658 0.750 0.118
9 Te 0.692 0.250 0.432
10 Te 0.766 0.250 0.870
11 Pd 0.464 0.750 0.388
12 Pd 0.536 0.250 0.612

M_tot: 0.7 μB/f.u.
Formation energy without anion corrections: -51.3 kJ/mol of atoms
E: -56.05 eV per cell

=====

No. 5
Here is a relaxed KYTe2Pd crystal from Alexandria. Energies are from PBE-GGA.

Cell lengths 5.753, 5.753, 6.919 Å; angles 90.00, 90.00, 90.00 degrees
Positions (direct):
1 K 0.000 0.000 0.000
2 Y 0.000 0.000 0.500
3 Te 0.000 0.500 0.500
4 Te 0.500 0.000 0.500
5 Pd 0.500 0.500 0.000

M_tot: 0.0 μB/f.u.
Formation energy without anion corrections: 17.6 kJ/mol of atoms
E: -18.13 eV per cell

=====

No. 6
Here is a relaxed K2Zr2Te6Pd crystal from Alexandria. Energies are from PBE-GGA.

Cell lengths 7.170, 7.170, 8.773 Å; angles 97.97, 97.97, 119.94 degrees
Positions (direct):
1 K 0.164 0.836 0.000
2 K 0.836 0.164 0.000
3 Zr 0.322 0.678 0.500
4 Zr 0.678 0.322 0.500
5 Te 0.085 0.402 0.701
6 Te 0.259 0.259 0.319
7 Te 0.402 0.085 0.701
8 Te 0.598 0.915 0.299
9 Te 0.741 0.741 0.681
10 Te 0.915 0.598 0.299
11 Pd 0.000 0.000 0.500

M_tot: 0.0 μB/f.u.
Formation energy without anion corrections: -75.1 kJ/mol of atoms
E: -51.90 eV per cell

=====

- What is the E in the third record?
  -94.13 eV per cell

=====

- Among the records above, which one has the lowest E?
  KU2Te4Pd

=====

- Among the records above, which one has the lowest formation energy without anion corrections?
  K2Zr2Te6Pd

=====

- Among the records above, which one has the highest M_tot?
  KU2Te4Pd